A relaxed SrGa2IrI crystal, computed with GGA-PBE. Values from VASP.

Uncorrected formation energy, eV per atom: -0.666
Calculated total energy, eV/atom: -4.30

Quantum ESPRESSO input file:
```
&SYSTEM
  ibrav = 0, nat = 5, ntyp = 4
/
ATOMIC_SPECIES
I 126.90 I.upf
Sr 87.62 Sr.upf
Ir 192.22 Ir.upf
Ga 69.72 Ga.upf
CELL_PARAMETERS angstrom
-4.3943 -1.3828 -1.5397
0.6238 -4.3308 2.1092
-2.4625 2.1344 5.1109
ATOMIC_POSITIONS angstrom
I -3.1165 -1.7896 2.8402
Sr -1.2312 1.0672 2.5555
Ir 0.0000 0.0000 0.0000
Ga 0.3119 -2.1654 1.0546
Ga -2.1972 -0.6914 -0.7699
```